Nb3V2H3: optimized geometry, GGA-PBE.

a b c (Å): 2.880 5.233 12.745
angles (deg): 90.00 90.00 105.97
Atoms (fractional coordinates):
Nb (0.936, 0.871, 0.362)
Nb (0.064, 0.129, 0.862)
Nb (0.936, 0.871, 0.138)
Nb (0.064, 0.129, 0.638)
Nb (0.681, 0.362, 0.250)
Nb (0.319, 0.638, 0.750)
V (0.811, 0.621, 0.934)
V (0.189, 0.379, 0.434)
V (0.811, 0.621, 0.566)
V (0.189, 0.379, 0.066)
H (0.632, 0.263, 0.529)
H (0.368, 0.737, 0.029)
H (0.632, 0.263, 0.971)
H (0.368, 0.737, 0.471)
H (0.371, 0.741, 0.250)
H (0.629, 0.259, 0.750)

Calculated values
* E: -115.057 eV/cell
* space-group type: Cmcm, No. 63
* total magnetization: 0.00 μB/cell